# 1
# CsAuBr3

An optimized crystal structure of CsAuBr3 (GGA-PBE, OQMD). Values from VASP.

Structure (Quantum ESPRESSO input):
```
&SYSTEM
  ibrav = 0, nat = 10, ntyp = 3
/
ATOMIC_SPECIES
Cs 132.91 Cs.upf
Au 196.97 Au.upf
Br 79.90 Br.upf
CELL_PARAMETERS angstrom
-3.880 3.880 5.706
3.880 -3.880 5.706
3.880 3.880 -5.706
ATOMIC_POSITIONS crystal
Cs 0.250 0.750 0.500
Cs 0.750 0.250 0.500
Au 0.000 0.000 0.000
Au 0.500 0.500 0.000
Br 0.217 0.217 0.000
Br 0.270 0.270 0.540
Br 0.270 0.730 0.000
Br 0.730 0.270 0.000
Br 0.730 0.730 0.460
Br 0.783 0.783 0.000
```

## Properties
Total energy = -13.5 eV/f.u.

***

# 2
# Cs3Au2Br11

An optimized crystal structure of Cs3Au2Br11 (GGA-PBE, OQMD). Values from VASP.

Structure (Quantum ESPRESSO input):
```
&SYSTEM
  ibrav = 0, nat = 64, ntyp = 3
/
ATOMIC_SPECIES
Cs 132.91 Cs.upf
Au 196.97 Au.upf
Br 79.90 Br.upf
CELL_PARAMETERS angstrom
7.762 0.000 0.000
0.000 16.340 0.000
-1.315 0.000 18.703
ATOMIC_POSITIONS crystal
Cs 0.239 0.022 0.401
Cs 0.239 0.478 0.901
Cs 0.254 0.131 0.925
Cs 0.254 0.369 0.425
Cs 0.257 0.727 0.324
Cs 0.257 0.773 0.824
Cs 0.743 0.227 0.176
Cs 0.743 0.273 0.676
Cs 0.746 0.631 0.575
Cs 0.746 0.869 0.075
Cs 0.761 0.522 0.099
Cs 0.761 0.978 0.599
Au 0.244 0.501 0.669
Au 0.244 0.999 0.169
Au 0.263 0.689 0.065
Au 0.263 0.811 0.565
Au 0.737 0.189 0.435
Au 0.737 0.311 0.935
Au 0.756 0.001 0.831
Au 0.756 0.499 0.331
Br 0.015 0.560 0.739
Br 0.015 0.940 0.239
Br 0.019 0.067 0.090
Br 0.019 0.433 0.590
Br 0.027 0.704 0.146
Br 0.027 0.796 0.646
Br 0.070 0.165 0.573
Br 0.070 0.335 0.073
Br 0.233 0.231 0.683
Br 0.233 0.269 0.183
Br 0.258 0.662 0.540
Br 0.258 0.838 0.040
Br 0.259 0.540 0.088
Br 0.259 0.960 0.588
Br 0.392 0.200 0.292
Br 0.392 0.300 0.792
Br 0.468 0.571 0.749
Br 0.468 0.929 0.249
Br 0.472 0.056 0.098
Br 0.472 0.444 0.598
Br 0.499 0.171 0.515
Br 0.499 0.329 0.015
Br 0.501 0.671 0.985
Br 0.501 0.829 0.485
Br 0.528 0.556 0.402
Br 0.528 0.944 0.902
Br 0.532 0.071 0.751
Br 0.532 0.429 0.251
Br 0.608 0.700 0.208
Br 0.608 0.800 0.708
Br 0.741 0.040 0.412
Br 0.741 0.460 0.912
Br 0.742 0.162 0.960
Br 0.742 0.338 0.460
Br 0.767 0.731 0.817
Br 0.767 0.769 0.317
Br 0.930 0.665 0.927
Br 0.930 0.835 0.427
Br 0.973 0.204 0.354
Br 0.973 0.296 0.854
Br 0.981 0.567 0.410
Br 0.981 0.933 0.910
Br 0.985 0.060 0.761
Br 0.985 0.440 0.261
```

## Properties
Total energy = -40.4 eV/f.u.

***

# 3
# Cs2CuAuBr6

An optimized crystal structure of Cs2CuAuBr6 (GGA-PBE, OQMD). Values from VASP.

Structure (Quantum ESPRESSO input):
```
&SYSTEM
  ibrav = 0, nat = 10, ntyp = 4
/
ATOMIC_SPECIES
Cs 132.91 Cs.upf
Cu 63.55 Cu.upf
Au 196.97 Au.upf
Br 79.90 Br.upf
CELL_PARAMETERS angstrom
0.000 5.363 5.363
5.363 0.000 5.363
5.363 5.363 0.000
ATOMIC_POSITIONS crystal
Cs 0.250 0.250 0.250
Cs 0.750 0.750 0.750
Cu 0.000 0.000 0.000
Au 0.500 0.500 0.500
Br 0.244 0.244 0.756
Br 0.244 0.756 0.244
Br 0.244 0.756 0.756
Br 0.756 0.244 0.244
Br 0.756 0.244 0.756
Br 0.756 0.756 0.244
```

## Properties
Total energy = -27.3 eV/f.u.